## TbAgPt4 (PBE)

Data for TbAgPt4 after structural relaxation.

Values from the calculation:
**Total DFT energy (no corrections)**: -5.9866 eV per atom
**Calculated volume**: 18.186 A^3/atom
**Energy of formation**: -0.71 eV per atom
**Crystal system**: cubic

Unit cell a=5.3637 b=5.3637 c=5.3637 alpha=60.00 beta=60.00 gamma=60.00
Sites, in units of the cell vectors:
Tb (0.0000, 0.0000, 0.0000)
Ag (0.2500, 0.2500, 0.2500)
Pt (0.1262, 0.6246, 0.6246)
Pt (0.6246, 0.1262, 0.6246)
Pt (0.6246, 0.6246, 0.1262)
Pt (0.6246, 0.6246, 0.6246)

=====

## TbAg3Pt8 (PBE)

Data for TbAg3Pt8 after structural relaxation.

Values from the calculation:
**Total DFT energy (no corrections)**: -5.4709 eV per atom
**Calculated volume**: 17.905 A^3/atom
**Energy of formation**: -0.35 eV per atom
**Crystal system**: trigonal

Unit cell a=9.2391 b=9.2391 c=9.2391 alpha=33.58 beta=33.58 gamma=33.58
Sites, in units of the cell vectors:
Tb (0.0000, 0.0000, 0.0000)
Ag (0.1282, 0.1282, 0.1282)
Ag (0.4985, 0.4985, 0.4985)
Ag (0.6190, 0.6190, 0.6190)
Pt (0.0623, 0.0623, 0.5629)
Pt (0.0623, 0.5629, 0.0623)
Pt (0.0618, 0.5628, 0.5628)
Pt (0.3123, 0.3123, 0.3123)
Pt (0.5629, 0.0623, 0.0623)
Pt (0.5628, 0.0618, 0.5628)
Pt (0.5628, 0.5628, 0.0618)
Pt (0.8125, 0.8125, 0.8125)

=====

## TbAgPt (PBE)

Data for TbAgPt after structural relaxation.

Values from the calculation:
**Total DFT energy (no corrections)**: -5.3428 eV per atom
**Calculated volume**: 20.864 A^3/atom
**Energy of formation**: -0.84 eV per atom
**Crystal system**: orthorhombic

Unit cell a=5.3226 b=5.3226 c=5.6569 alpha=90.00 beta=90.00 gamma=128.64
Sites, in units of the cell vectors:
Tb (0.1936, 0.8064, 0.7500)
Tb (0.8064, 0.1936, 0.2500)
Ag (0.5000, 0.5000, 0.0000)
Ag (0.5000, 0.5000, 0.5000)
Pt (0.1195, 0.8805, 0.2500)
Pt (0.8805, 0.1195, 0.7500)

=====

## Tb2AgPt9 (PBE)

Data for Tb2AgPt9 after structural relaxation.

Values from the calculation:
**Total DFT energy (no corrections)**: -6.1839 eV per atom
**Calculated volume**: 17.117 A^3/atom
**Energy of formation**: -0.64 eV per atom
**Crystal system**: tetragonal

Unit cell a=4.0989 b=4.0989 c=12.2259 alpha=90.00 beta=90.00 gamma=90.00
Sites, in units of the cell vectors:
Tb (0.0000, 0.0000, 0.1706)
Tb (0.0000, 0.0000, 0.8294)
Ag (0.0000, 0.0000, 0.5000)
Pt (0.0000, 0.5000, 0.0000)
Pt (0.0000, 0.5000, 0.3399)
Pt (0.0000, 0.5000, 0.6601)
Pt (0.5000, 0.0000, 0.0000)
Pt (0.5000, 0.0000, 0.3399)
Pt (0.5000, 0.0000, 0.6601)
Pt (0.5000, 0.5000, 0.1698)
Pt (0.5000, 0.5000, 0.5000)
Pt (0.5000, 0.5000, 0.8302)

=====

## TbAgPt2 (PBE)

Data for TbAgPt2 after structural relaxation.

Values from the calculation:
**Total DFT energy (no corrections)**: -5.6954 eV per atom
**Calculated volume**: 18.353 A^3/atom
**Energy of formation**: -0.80 eV per atom
**Crystal system**: tetragonal

Unit cell a=4.2546 b=4.2546 c=4.0555 alpha=90.00 beta=90.00 gamma=90.00
Sites, in units of the cell vectors:
Tb (0.0000, 0.0000, 0.0000)
Ag (0.5000, 0.5000, 0.0000)
Pt (0.0000, 0.5000, 0.5000)
Pt (0.5000, 0.0000, 0.5000)

=====

## Tb8AgPt2 (PBE)

Data for Tb8AgPt2 after structural relaxation.

Values from the calculation:
**Total DFT energy (no corrections)**: -5.1555 eV per atom
**Calculated volume**: 28.077 A^3/atom
**Energy of formation**: -0.43 eV per atom
**Crystal system**: monoclinic

Unit cell a=7.9193 b=7.9193 c=5.6285 alpha=98.39 beta=98.39 gamma=114.67
Sites, in units of the cell vectors:
Tb (0.0000, 0.0000, 0.0000)
Tb (0.0499, 0.3006, 0.6016)
Tb (0.1432, 0.6189, 0.1889)
Tb (0.3006, 0.0499, 0.6016)
Tb (0.4615, 0.7123, 0.7764)
Tb (0.6189, 0.1432, 0.1889)
Tb (0.7123, 0.4615, 0.7764)
Tb (0.7623, 0.7623, 0.3779)
Ag (0.3814, 0.3814, 0.1840)
Pt (0.0787, 0.6835, 0.6889)
Pt (0.6835, 0.0787, 0.6889)

=====

## Tb8Ag2Pt (PBE)

Data for Tb8Ag2Pt after structural relaxation.

Values from the calculation:
**Total DFT energy (no corrections)**: -4.7502 eV per atom
**Calculated volume**: 27.578 A^3/atom
**Energy of formation**: -0.32 eV per atom
**Crystal system**: monoclinic

Unit cell a=9.2321 b=9.2321 c=6.8342 alpha=104.71 beta=104.71 gamma=32.69
Sites, in units of the cell vectors:
Tb (0.0271, 0.0271, 0.2826)
Tb (0.2029, 0.2029, 0.8214)
Tb (0.3395, 0.3395, 0.5262)
Tb (0.4105, 0.4105, 0.0599)
Tb (0.5895, 0.5895, 0.9401)
Tb (0.6605, 0.6605, 0.4738)
Tb (0.7971, 0.7971, 0.1786)
Tb (0.9729, 0.9729, 0.7174)
Ag (0.1856, 0.1856, 0.2308)
Ag (0.8144, 0.8144, 0.7692)
Pt (0.5000, 0.5000, 0.5000)

=====

## Tb3AgPt2 (PBE)

Data for Tb3AgPt2 after structural relaxation.

Values from the calculation:
**Total DFT energy (no corrections)**: -5.7192 eV per atom
**Calculated volume**: 22.347 A^3/atom
**Energy of formation**: -0.92 eV per atom
**Crystal system**: orthorhombic

Unit cell a=7.8755 b=7.8755 c=3.5770 alpha=90.00 beta=90.00 gamma=142.82
Sites, in units of the cell vectors:
Tb (0.0000, 0.0000, 0.0000)
Tb (0.3265, 0.6735, 0.0000)
Tb (0.6735, 0.3265, 0.0000)
Ag (0.5000, 0.5000, 0.5000)
Pt (0.1613, 0.8387, 0.5000)
Pt (0.8387, 0.1613, 0.5000)

=====

## TbAgPt (PBE)

Data for TbAgPt after structural relaxation.

Values from the calculation:
**Total DFT energy (no corrections)**: -5.2273 eV per atom
**Calculated volume**: 20.694 A^3/atom
**Energy of formation**: -0.72 eV per atom
**Crystal system**: tetragonal

Unit cell a=5.2475 b=5.2475 c=5.2475 alpha=138.79 beta=138.79 gamma=59.69
Sites, in units of the cell vectors:
Tb (0.0000, 0.0000, 0.0000)
Ag (0.3204, 0.3204, 0.0000)
Pt (0.6496, 0.6496, 0.0000)

=====

## TbAgPt (PBE)

Data for TbAgPt after structural relaxation.

Values from the calculation:
**Total DFT energy (no corrections)**: -5.1920 eV per atom
**Calculated volume**: 21.983 A^3/atom
**Energy of formation**: -0.68 eV per atom
**Crystal system**: triclinic

Unit cell a=3.8243 b=5.0156 c=7.4374 alpha=89.50 beta=90.00 gamma=67.61
Sites, in units of the cell vectors:
Tb (0.0564, 0.3861, 0.2215)
Tb (0.9436, 0.6139, 0.7785)
Ag (0.3533, 0.7939, 0.4435)
Ag (0.6467, 0.2061, 0.5565)
Pt (0.3533, 0.7950, 0.0498)
Pt (0.6467, 0.2050, 0.9502)

=====

## Tb7Ag2Pt2 (PBE)

Data for Tb7Ag2Pt2 after structural relaxation.

Values from the calculation:
**Total DFT energy (no corrections)**: -5.0057 eV per atom
**Calculated volume**: 28.585 A^3/atom
**Energy of formation**: -0.44 eV per atom
**Crystal system**: orthorhombic

Unit cell a=6.7774 b=6.7774 c=7.1710 alpha=90.00 beta=90.00 gamma=107.33
Sites, in units of the cell vectors:
Tb (0.0000, 0.0000, 0.0000)
Tb (0.0000, 0.5000, 0.2580)
Tb (0.0000, 0.5000, 0.7420)
Tb (0.5000, 0.0000, 0.2580)
Tb (0.5000, 0.0000, 0.7420)
Tb (0.5000, 0.5000, 0.2525)
Tb (0.5000, 0.5000, 0.7475)
Ag (0.1807, 0.1807, 0.5000)
Ag (0.8193, 0.8193, 0.5000)
Pt (0.2859, 0.7141, 0.0000)
Pt (0.7141, 0.2859, 0.0000)

=====

## Tb4Ag3Pt (PBE)

Data for Tb4Ag3Pt after structural relaxation.

Values from the calculation:
**Total DFT energy (no corrections)**: -4.6893 eV per atom
**Calculated volume**: 23.623 A^3/atom
**Energy of formation**: -0.55 eV per atom
**Crystal system**: tetragonal

Unit cell a=3.6089 b=3.6089 c=14.5097 alpha=90.00 beta=90.00 gamma=90.00
Sites, in units of the cell vectors:
Tb (0.0000, 0.0000, 0.1147)
Tb (0.0000, 0.0000, 0.3719)
Tb (0.0000, 0.0000, 0.6281)
Tb (0.0000, 0.0000, 0.8853)
Ag (0.5000, 0.5000, 0.2462)
Ag (0.5000, 0.5000, 0.5000)
Ag (0.5000, 0.5000, 0.7538)
Pt (0.5000, 0.5000, 0.0000)